Entry from Alexandria via LeMat-Bulk: crystalline MnAu at its relaxed geometry (PBE).

a b c (Å): 2.7694 2.7694 8.8704
angles (deg): 90.00 90.00 120.00
Fractional positions:
1 Mn 0.3333 0.6667 0.4088
2 Mn 0.6667 0.3333 0.5912
3 Au 0.3333 0.6667 0.8491
4 Au 0.6667 0.3333 0.1509

Computed properties:
Total DFT energy (no corrections)   -5.953 eV/atom
Energy relative to the elements   270 meV per atom